Record 1
Entry from Alexandria: a relaxed structure of Al3BiAs (GGA-PBE).

The structure in CIF format:
```
data_Al3BiAs
_space_group_name_H-M_alt 'P m -3 m'
_space_group_IT_number 221
_space_group_name_Hall '-P 4 2 3'
_cell_length_a 5.413
_cell_length_b 5.413
_cell_length_c 5.413
_cell_angle_alpha 90.00
_cell_angle_beta 90.00
_cell_angle_gamma 90.00
loop_
_atom_site_label
_atom_site_fract_x
_atom_site_fract_y
_atom_site_fract_z
_atom_site_occupancy
Al1 0.000 0.000 0.500 1
Bi1 0.000 0.000 0.000 1
As1 0.500 0.500 0.500 1
```

The calculation puts the offset from the most stable computed form at 720 meV/atom. The formation energy is 1.104 eV/atom. For the total energy, the calculation gives -2.847 eV per atom. The magnetization is 0.0 μB per cell.

Record 2
Entry from Alexandria: a relaxed structure of TmTlZn2 (GGA-PBE).

The structure in CIF format:
```
data_TmTlZn2
_space_group_name_H-M_alt 'P 4/m m m'
_space_group_IT_number 123
_space_group_name_Hall '-P 4 2'
_cell_length_a 4.536
_cell_length_b 4.536
_cell_length_c 4.093
_cell_angle_alpha 90.00
_cell_angle_beta 90.00
_cell_angle_gamma 90.00
loop_
_atom_site_label
_atom_site_fract_x
_atom_site_fract_y
_atom_site_fract_z
_atom_site_occupancy
Tm1 0.000 0.000 0.000 1
Tl1 0.500 0.500 0.000 1
Zn1 0.000 0.500 0.500 1
```

The calculation puts the offset from the most stable computed form at 0 meV/atom. The formation energy is -0.183 eV/atom. For the total energy, the calculation gives -2.529 eV per atom. The magnetization is 0.0 μB per cell.

Record 3
Entry from Alexandria: a relaxed structure of PaFe2Co (GGA-PBE).

The structure in CIF format:
```
data_PaFe2Co
_space_group_name_H-M_alt 'R -3 m'
_space_group_IT_number 166
_space_group_name_Hall '-R 3 2"'
_cell_length_a 4.8474
_cell_length_b 4.8474
_cell_length_c 25.3599
_cell_angle_alpha 90.00
_cell_angle_beta 90.00
_cell_angle_gamma 120.00
loop_
_atom_site_label
_atom_site_fract_x
_atom_site_fract_y
_atom_site_fract_z
_atom_site_occupancy
Pa1 0.0000 0.0000 0.0000 1
Pa2 0.0000 0.0000 0.1419 1
Fe1 0.0019 0.5010 0.9184 1
Co1 0.0000 0.0000 0.3337 1
Co2 0.0000 0.0000 0.5000 1
```

The calculation puts the offset from the most stable computed form at 0 meV/atom. The formation energy is -0.183 eV/atom. For the total energy, the calculation gives -8.565 eV per atom. The magnetization is 29.9 μB per cell.

Record 4
Entry from Alexandria: a relaxed structure of Ba4SbIr (GGA-PBE).

The structure in CIF format:
```
data_Ba4SbIr
_space_group_name_H-M_alt 'F -4 3 m'
_space_group_IT_number 216
_space_group_name_Hall 'F -4 2 3'
_cell_length_a 9.639
_cell_length_b 9.639
_cell_length_c 9.639
_cell_angle_alpha 90.00
_cell_angle_beta 90.00
_cell_angle_gamma 90.00
loop_
_atom_site_label
_atom_site_fract_x
_atom_site_fract_y
_atom_site_fract_z
_atom_site_occupancy
Ba1 0.125 0.125 0.125 1
Sb1 0.000 0.000 0.500 1
Ir1 0.250 0.250 0.750 1
```

The value obtained for the energy relative to the elements, uncorrected is 0.59 eV/atom. For the total energy, the calculation gives -2.858 eV per atom. The magnetization is 0.0 μB per cell.